Record 1
Compound: YInAs2
Source: Alexandria via LeMat-Bulk
Functional: GGA-PBE
Structure: optimized geometry

## Properties
density of states at the Fermi level: 0.3638 states/eV per atom
ΔH_f (0 K): -0.677 eV/atom
DFT total energy: -5.302 eV/atom

Unit cell a=6.770 b=6.770 c=4.099 alpha=90.01 beta=90.01 gamma=32.44
Fractional coordinates of all 4 atoms:
As 0.967 0.967 0.125
As 0.726 0.726 0.625
Y 0.285 0.285 0.125
In 0.523 0.523 0.625

---

Record 2
Compound: Li2AgI
Source: Alexandria via LeMat-Bulk
Functional: GGA-PBE
Structure: optimized geometry

## Properties
density of states at the Fermi level: 0.1374 states/eV per atom
energy relative to the lowest polymorph listed for this composition: 46 meV per atom
DFT total energy: -2.479 eV/atom
uncorrected formation energy: -0.42 eV/atom

Unit cell a=3.637 b=3.637 c=6.684 alpha=90.00 beta=90.00 gamma=90.00
Fractional coordinates of all 4 atoms:
Ag 0.500 0.500 0.500
I 0.500 0.500 0.000
Li 0.000 0.000 0.267
Li 0.000 0.000 0.733